No. 1
Material: SrCa5Hg6
Method: DFT, PBE
State: optimized geometry

Values from the calculation:
As for the formation energy from the elements: -0.542 eV per atom.

The structure in POSCAR format:
```
SrCa5Hg6
1.0
5.4409 0.0000 0.0000
0.0000 7.5829 0.0000
-2.7091 0.0000 8.1430
Sr Ca Hg
1 5 6
Cartesian
0.0000 0.0000 0.0000 Sr
0.0000 3.7914 0.0000 Ca
0.0061 0.0000 5.4108 Ca
0.0050 3.7914 5.4527 Ca
2.7267 3.7914 2.6904 Ca
2.7256 0.0000 2.7322 Ca
0.0076 1.9375 2.7691 Hg
0.0076 5.6454 2.7691 Hg
2.7204 1.9587 0.0000 Hg
2.7204 5.6242 0.0000 Hg
2.7242 1.9375 5.3739 Hg
2.7242 5.6454 5.3739 Hg
```


No. 2
Material: Cs2KNaSb
Method: DFT, PBE
State: optimized geometry

Values from the calculation:
The calculation puts the energy above the most stable polymorph in this dataset at 0.0000 eV/atom. For the energy relative to the elements, uncorrected, the calculation gives -3.12 kcal/mol of atoms.

The structure in POSCAR format:
```
Cs2KNaSb
1.0
7.6564 0.0000 0.0000
0.0000 7.6564 0.0000
0.0000 0.0000 6.0101
Cs K Na Sb
2 1 1 1
Cartesian
0.0000 3.8282 0.0000 Cs
3.8282 0.0000 0.0000 Cs
0.0000 0.0000 3.0050 K
3.8282 3.8282 3.0050 Na
3.8282 3.8282 0.0000 Sb
```


no.,size of the total moment (μB/f.u.),final energy (eV per atom)
1,0.0,-1.667
2,0.5,-1.784